No. 1
{"formula": "Ta2InSe", "functional": "GGA-PBE", "state": "optimized geometry", "lattice": [[4.9948, -1.5812, 0.0000], [4.9948, 1.5812, 0.0000], [-1.2802, 0.0000, 4.8025]], "species": ["Ta", "Ta", "In", "Se"], "frac_coords": [[0.0000, 0.0000, 0.0000], [0.2282, 0.2282, 0.6677], [0.4795, 0.4795, 0.4889], [0.7222, 0.7222, 0.1184]], "sg": "Cm", "volume_a3_per_cell": 75.9, "energy_ev_per_atom": -7.310, "formation_energy_uncorrected_mev_per_atom": 172}

No. 2
{"formula": "TaInSe2", "functional": "GGA-PBE", "state": "optimized geometry", "lattice": [[6.2574, -2.8752, 0.0000], [6.2574, 2.8752, 0.0000], [0.0000, 0.0000, 6.0314]], "species": ["Ta", "Ta", "In", "In", "Se", "Se", "Se", "Se"], "frac_coords": [[0.0636, 0.9364, 0.5000], [0.9364, 0.0636, 0.0000], [0.4370, 0.5630, 0.8497], [0.5630, 0.4370, 0.3497], [0.0220, 0.6882, 0.1949], [0.3118, 0.9780, 0.1949], [0.6882, 0.0220, 0.6949], [0.9780, 0.3118, 0.6949]], "sg": "Cmc2_1", "volume_a3_per_cell": 217.0, "energy_ev_per_atom": -5.769, "formation_energy_uncorrected_mev_per_atom": -379}